A geometry-optimized BaTlAgPd structure, computed with PBE.

Properties
space-group type	Cm (8)
D(E_F)	1.345	states/eV/cell
energy relative to the elements	-328.4	meV per atom
magnetization	0.00	μB/f.u.

abc: 4.890 4.890 6.207
angles: 113.34 113.34 59.96
Element x y z (fractional)
Ba: 0.000 0.000 0.000
Tl: 0.521 0.521 0.562
Ag: 0.800 0.800 0.399
Pd: 0.196 0.196 0.586

=====

A geometry-optimized BaTlAg2Pd structure, computed with PBE.

Properties
space-group type	P4/mmm (123)
D(E_F)	2.269	states/eV/cell
energy relative to the elements	-119.1	meV per atom
magnetization	0.00	μB/f.u.

abc: 5.337 5.337 5.156
angles: 90.00 90.00 90.00
Element x y z (fractional)
Ba: 0.000 0.000 0.000
Tl: 0.500 0.500 0.000
Ag: 0.000 0.500 0.500
Ag: 0.500 0.000 0.500
Pd: 0.500 0.500 0.500

=====

A geometry-optimized BaYAg2Pd structure, computed with PBE.

Properties
space-group type	P4/mmm (123)
D(E_F)	3.417	states/eV/cell
energy relative to the elements	-110.6	meV per atom
magnetization	0.00	μB/f.u.

abc: 5.418 5.418 5.037
angles: 90.00 90.00 90.00
Element x y z (fractional)
Ba: 0.000 0.000 0.000
Y: 0.500 0.500 0.000
Ag: 0.000 0.500 0.500
Ag: 0.500 0.000 0.500
Pd: 0.500 0.500 0.500

=====

A geometry-optimized Ba3Zn4Ag2Pd2 structure, computed with PBE.

Properties
space-group type	P-3m1 (164)
D(E_F)	4.046	states/eV/cell
energy relative to the elements	-299.3	meV per atom
magnetization	0.00	μB/f.u.

abc: 4.593 4.593 16.398
angles: 90.00 90.00 120.00
Element x y z (fractional)
Ba: 0.000 0.000 0.000
Ba: 0.000 0.000 0.275
Ba: 0.000 0.000 0.725
Zn: 0.333 0.667 0.422
Zn: 0.333 0.667 0.862
Zn: 0.667 0.333 0.138
Zn: 0.667 0.333 0.578
Ag: 0.333 0.667 0.585
Ag: 0.667 0.333 0.415
Pd: 0.333 0.667 0.137
Pd: 0.667 0.333 0.863

=====

A geometry-optimized BaZnAgPd structure, computed with PBE.

Properties
space-group type	Cm (8)
D(E_F)	1.978	states/eV/cell
energy relative to the elements	-397.0	meV per atom
magnetization	0.00	μB/f.u.

abc: 4.561 4.561 6.233
angles: 111.46 111.46 60.25
Element x y z (fractional)
Ba: 0.000 0.000 0.000
Zn: 0.487 0.487 0.459
Ag: 0.198 0.198 0.590
Pd: 0.802 0.802 0.403

=====

A geometry-optimized Ba2Zn6AgPd structure, computed with PBE.

Properties
space-group type	C2/m (12)
D(E_F)	6.150	states/eV/cell
energy relative to the elements	-186.1	meV per atom
magnetization	0.00	μB/f.u.

abc: 7.066 7.066 7.059
angles: 119.87 119.87 90.15
Element x y z (fractional)
Ba: 0.250 0.750 0.000
Ba: 0.750 0.250 0.000
Zn: 0.246 0.246 0.500
Zn: 0.246 0.246 0.992
Zn: 0.246 0.754 0.500
Zn: 0.754 0.246 0.500
Zn: 0.754 0.754 0.008
Zn: 0.754 0.754 0.500
Ag: 0.500 0.500 0.500
Pd: 0.000 0.000 0.500

=====

A geometry-optimized Ba2ZnAgPd structure, computed with PBE.

Properties
space-group type	P4/mmm (123)
D(E_F)	3.559	states/eV/cell
energy relative to the elements	-248.7	meV per atom
magnetization	0.00	μB/f.u.

abc: 6.077 6.077 4.904
angles: 90.00 90.00 90.00
Element x y z (fractional)
Ba: 0.000 0.500 0.000
Ba: 0.500 0.000 0.000
Zn: 0.000 0.000 0.500
Ag: 0.500 0.500 0.500
Pd: 0.000 0.000 0.000

=====

A geometry-optimized BaZn2AgPd structure, computed with PBE.

Properties
space-group type	P4/mmm (123)
D(E_F)	2.476	states/eV/cell
energy relative to the elements	-254.4	meV per atom
magnetization	0.00	μB/f.u.

abc: 4.885 4.885 5.361
angles: 90.00 90.00 90.00
Element x y z (fractional)
Ba: 0.000 0.000 0.000
Zn: 0.000 0.500 0.500
Zn: 0.500 0.000 0.500
Ag: 0.500 0.500 0.000
Pd: 0.500 0.500 0.500

=====

A geometry-optimized Ba2Zn2AgPd5 structure, computed with PBE.

Properties
space-group type	P4/mbm (127)
D(E_F)	7.531	states/eV/cell
energy relative to the elements	-365.9	meV per atom
magnetization	0.00	μB/f.u.

abc: 10.351 10.351 3.820
angles: 90.00 90.00 90.00
Element x y z (fractional)
Ba: 0.183 0.317 0.000
Ba: 0.317 0.817 0.000
Ba: 0.683 0.183 0.000
Ba: 0.817 0.683 0.000
Zn: 0.116 0.616 0.000
Zn: 0.384 0.116 0.000
Zn: 0.616 0.884 0.000
Zn: 0.884 0.384 0.000
Ag: 0.000 0.000 0.000
Ag: 0.500 0.500 0.000
Pd: 0.000 0.500 0.500
Pd: 0.059 0.789 0.500
Pd: 0.211 0.059 0.500
Pd: 0.289 0.559 0.500
Pd: 0.441 0.289 0.500
Pd: 0.500 0.000 0.500
Pd: 0.559 0.711 0.500
Pd: 0.711 0.441 0.500
Pd: 0.789 0.941 0.500
Pd: 0.941 0.211 0.500

=====

A geometry-optimized BaPmAg2 structure, computed with PBE.

Properties
space-group type	R-3m (166)
D(E_F)	4.435	states/eV/cell
energy relative to the elements	-143.7	meV per atom
magnetization	0.00	μB/f.u.

abc: 6.318 6.318 6.318
angles: 48.80 48.80 48.80
Element x y z (fractional)
Ba: 0.000 0.000 0.000
Pm: 0.500 0.500 0.500
Ag: 0.207 0.207 0.207
Ag: 0.793 0.793 0.793

=====

A geometry-optimized BaPmAg4 structure, computed with PBE.

Properties
space-group type	F-43m (216)
D(E_F)	4.947	states/eV/cell
energy relative to the elements	-89.4	meV per atom
magnetization	0.00	μB/f.u.

abc: 5.943 5.943 5.943
angles: 60.00 60.00 60.00
Element x y z (fractional)
Ba: 0.000 0.000 0.000
Pm: 0.250 0.250 0.250
Ag: 0.128 0.624 0.624
Ag: 0.624 0.128 0.624
Ag: 0.624 0.624 0.128
Ag: 0.624 0.624 0.624

=====

A geometry-optimized BaPmAg2 structure, computed with PBE.

Properties
space-group type	P4/mmm (123)
D(E_F)	3.730	states/eV/cell
energy relative to the elements	-169.8	meV per atom
magnetization	0.00	μB/f.u.

abc: 5.583 5.583 3.813
angles: 90.00 90.00 90.00
Element x y z (fractional)
Ba: 0.000 0.000 0.000
Pm: 0.500 0.500 0.000
Ag: 0.000 0.500 0.500
Ag: 0.500 0.000 0.500

=====

A geometry-optimized BaPm2Ag structure, computed with PBE.

Properties
space-group type	P4/mmm (123)
D(E_F)	6.571	states/eV/cell
energy relative to the elements	7.2	meV per atom
magnetization	0.00	μB/f.u.

abc: 3.815 3.815 9.745
angles: 90.00 90.00 90.00
Element x y z (fractional)
Ba: 0.000 0.000 0.000
Pm: 0.500 0.500 0.322
Pm: 0.500 0.500 0.678
Ag: 0.000 0.000 0.500

=====

A geometry-optimized BaPmAg2 structure, computed with PBE.

Properties
space-group type	P4/mmm (123)
D(E_F)	3.709	states/eV/cell
energy relative to the elements	-237.0	meV per atom
magnetization	0.00	μB/f.u.

abc: 3.901 3.901 7.891
angles: 90.00 90.00 90.00
Element x y z (fractional)
Ba: 0.000 0.000 0.000
Pm: 0.000 0.000 0.500
Ag: 0.500 0.500 0.300
Ag: 0.500 0.500 0.700

=====

A geometry-optimized BaPmAg structure, computed with PBE.

Properties
space-group type	I4mm (107)
D(E_F)	3.449	states/eV/cell
energy relative to the elements	-74.0	meV per atom
magnetization	0.00	μB/f.u.

abc: 7.485 7.485 7.485
angles: 149.43 149.43 43.78
Element x y z (fractional)
Ba: 0.000 0.000 0.000
Pm: 0.270 0.270 0.000
Ag: 0.667 0.667 0.000

=====

A geometry-optimized BaPm2Ag structure, computed with PBE.

Properties
space-group type	R-3m (166)
D(E_F)	5.997	states/eV/cell
energy relative to the elements	214.0	meV per atom
magnetization	0.00	μB/f.u.

abc: 12.087 12.087 12.087
angles: 17.78 17.78 17.78
Element x y z (fractional)
Ba: 0.000 0.000 0.000
Pm: 0.103 0.103 0.103
Pm: 0.897 0.897 0.897
Ag: 0.500 0.500 0.500

=====

A geometry-optimized BaPmAg10 structure, computed with PBE.

Properties
space-group type	Pmmm (47)
D(E_F)	6.760	states/eV/cell
energy relative to the elements	-128.1	meV per atom
magnetization	0.00	μB/f.u.

abc: 4.716 5.710 9.968
angles: 90.00 90.00 90.00
Element x y z (fractional)
Ba: 0.000 0.000 0.000
Pm: 0.000 0.500 0.500
Ag: 0.000 0.000 0.343
Ag: 0.000 0.000 0.657
Ag: 0.000 0.500 0.181
Ag: 0.000 0.500 0.819
Ag: 0.500 0.000 0.500
Ag: 0.500 0.255 0.259
Ag: 0.500 0.255 0.741
Ag: 0.500 0.500 0.000
Ag: 0.500 0.745 0.259
Ag: 0.500 0.745 0.741

=====

A geometry-optimized BaPm2Ag3 structure, computed with PBE.

Properties
space-group type	P4/mmm (123)
D(E_F)	5.500	states/eV/cell
energy relative to the elements	-237.9	meV per atom
magnetization	0.00	μB/f.u.

abc: 3.844 3.844 11.590
angles: 90.00 90.00 90.00
Element x y z (fractional)
Ba: 0.000 0.000 0.000
Pm: 0.000 0.000 0.341
Pm: 0.000 0.000 0.659
Ag: 0.500 0.500 0.204
Ag: 0.500 0.500 0.500
Ag: 0.500 0.500 0.796

=====

A geometry-optimized BaPm2Ag9 structure, computed with PBE.

Properties
space-group type	R-3m (166)
D(E_F)	7.125	states/eV/cell
energy relative to the elements	-165.8	meV per atom
magnetization	0.00	μB/f.u.

abc: 9.877 9.877 9.877
angles: 34.59 34.59 34.59
Element x y z (fractional)
Ba: 0.000 0.000 0.000
Pm: 0.148 0.148 0.148
Pm: 0.852 0.852 0.852
Ag: 0.083 0.587 0.587
Ag: 0.333 0.333 0.333
Ag: 0.413 0.413 0.917
Ag: 0.413 0.917 0.413
Ag: 0.500 0.500 0.500
Ag: 0.587 0.083 0.587
Ag: 0.587 0.587 0.083
Ag: 0.667 0.667 0.667
Ag: 0.917 0.413 0.413

=====

A geometry-optimized BaPmAg structure, computed with PBE.

Properties
space-group type	P3m1 (156)
D(E_F)	2.830	states/eV/cell
energy relative to the elements	70.9	meV per atom
magnetization	0.00	μB/f.u.

abc: 5.288 5.288 4.457
angles: 90.00 90.00 120.00
Element x y z (fractional)
Ba: 0.000 0.000 0.000
Pm: 0.333 0.667 0.512
Ag: 0.667 0.333 0.462

=====

A geometry-optimized BaPmAg2 structure, computed with PBE.

Properties
space-group type	Fm-3m (225)
D(E_F)	4.815	states/eV/cell
energy relative to the elements	-120.5	meV per atom
magnetization	0.00	μB/f.u.

abc: 5.537 5.537 5.537
angles: 60.00 60.00 60.00
Element x y z (fractional)
Ba: 0.000 0.000 0.000
Pm: 0.500 0.500 0.500
Ag: 0.250 0.250 0.250
Ag: 0.750 0.750 0.750

=====

A geometry-optimized Ba3PmAg4 structure, computed with PBE.

Properties
space-group type	P4/mmm (123)
D(E_F)	7.391	states/eV/cell
energy relative to the elements	-225.8	meV per atom
magnetization	0.00	μB/f.u.

abc: 3.987 3.987 16.295
angles: 90.00 90.00 90.00
Element x y z (fractional)
Ba: 0.000 0.000 0.000
Ba: 0.000 0.000 0.260
Ba: 0.000 0.000 0.740
Pm: 0.000 0.000 0.500
Ag: 0.500 0.500 0.129
Ag: 0.500 0.500 0.405
Ag: 0.500 0.500 0.595
Ag: 0.500 0.500 0.871

=====

A geometry-optimized BaPmAgPt structure, computed with PBE.

Properties
space-group type	F-43m (216)
D(E_F)	3.990	states/eV/cell
energy relative to the elements	-425.4	meV per atom
magnetization	0.00	μB/f.u.

abc: 5.360 5.360 5.360
angles: 60.00 60.00 60.00
Element x y z (fractional)
Ba: 0.000 0.000 0.000
Pm: 0.500 0.500 0.500
Ag: 0.750 0.750 0.750
Pt: 0.250 0.250 0.250

=====

A geometry-optimized BaPmAgRh structure, computed with PBE.

Properties
space-group type	F-43m (216)
D(E_F)	1.907	states/eV/cell
energy relative to the elements	-191.5	meV per atom
magnetization	0.00	μB/f.u.

abc: 5.308 5.308 5.308
angles: 60.00 60.00 60.00
Element x y z (fractional)
Ba: 0.000 0.000 0.000
Pm: 0.500 0.500 0.500
Ag: 0.250 0.250 0.250
Rh: 0.750 0.750 0.750

=====

A geometry-optimized Ba2PmAgS4 structure, computed with PBE.

Properties
space-group type	P2/m (10)
ΔE_f (raw)	-1.59	eV per atom
magnetization	0.00	μB/f.u.

abc: 7.418 4.299 7.486
angles: 90.00 110.55 90.00
Element x y z (fractional)
Ba: 0.000 0.000 0.000
Ba: 0.000 0.500 0.500
Pm: 0.500 0.000 0.500
Ag: 0.500 0.500 0.000
S: 0.275 0.500 0.273
S: 0.285 0.000 0.752
S: 0.715 0.000 0.248
S: 0.725 0.500 0.727

=====

A geometry-optimized Ba2PmAg2S4 structure, computed with PBE.

Properties
space-group type	C2/m (12)
D(E_F)	2.127	states/eV/cell
ΔE_f (raw)	-1.35	eV per atom
magnetization	0.00	μB/f.u.

abc: 8.169 8.169 7.842
angles: 113.22 113.22 28.71
Element x y z (fractional)
Ba: 0.135 0.135 0.079
Ba: 0.865 0.865 0.921
Pm: 0.000 0.000 0.500
Ag: 0.315 0.315 0.489
Ag: 0.685 0.685 0.511
S: 0.192 0.192 0.740
S: 0.482 0.482 0.748
S: 0.518 0.518 0.252
S: 0.808 0.808 0.260